# Rb2MnGeF6

Rb2MnGeF6 after structural relaxation (GGA+U, Alexandria via LeMat-Bulk).

CIF file:
```
data_Rb2MnGeF6
_chemical_formula_sum 'Rb2 Mn1 Ge1 F6'
_cell_length_a 6.218
_cell_length_b 6.218
_cell_length_c 6.221
_cell_angle_alpha 60.02
_cell_angle_beta 60.02
_cell_angle_gamma 90.00
_symmetry_space_group_name_H-M 'P 1'
_symmetry_Int_Tables_number 1
_symmetry_space_group_name_Hall 'P 1'
loop_
_atom_site_label
_atom_site_type_symbol
_atom_site_fract_x
_atom_site_fract_y
_atom_site_fract_z
Ge1 Ge 0.000 0.000 0.000
Mn1 Mn 0.500 0.500 0.000
Rb1 Rb 0.750 0.250 0.500
Rb2 Rb 0.250 0.750 0.500
F1 F 0.256 0.256 0.488
F2 F 0.744 0.744 0.512
F3 F 0.256 0.256 0.000
F4 F 0.744 0.744 0.000
F5 F 0.744 0.256 0.000
F6 F 0.256 0.744 0.000
```



# Mn2GeRuF

Mn2GeRuF after structural relaxation (GGA+U, Alexandria via LeMat-Bulk).

CIF file:
```
data_Mn2GeRuF
_chemical_formula_sum 'Mn2 Ge1 Ru1 F1'
_cell_length_a 4.981
_cell_length_b 3.886
_cell_length_c 4.981
_cell_angle_alpha 90.00
_cell_angle_beta 90.00
_cell_angle_gamma 90.00
_symmetry_space_group_name_H-M 'P 1'
_symmetry_Int_Tables_number 1
_symmetry_space_group_name_Hall 'P 1'
loop_
_atom_site_label
_atom_site_type_symbol
_atom_site_fract_x
_atom_site_fract_y
_atom_site_fract_z
Ru1 Ru 0.500 0.500 0.500
Ge1 Ge 0.000 0.000 0.000
Mn1 Mn 0.000 0.000 0.500
Mn2 Mn 0.500 0.000 0.000
F1 F 0.000 0.500 0.000
```



# MnGe2SF

MnGe2SF after structural relaxation (GGA+U, Alexandria via LeMat-Bulk).

CIF file:
```
data_MnGe2SF
_chemical_formula_sum 'Mn1 Ge2 S1 F1'
_cell_length_a 4.934
_cell_length_b 4.081
_cell_length_c 4.934
_cell_angle_alpha 90.00
_cell_angle_beta 90.00
_cell_angle_gamma 90.00
_symmetry_space_group_name_H-M 'P 1'
_symmetry_Int_Tables_number 1
_symmetry_space_group_name_Hall 'P 1'
loop_
_atom_site_label
_atom_site_type_symbol
_atom_site_fract_x
_atom_site_fract_y
_atom_site_fract_z
Ge1 Ge 0.000 0.000 0.500
Ge2 Ge 0.500 0.000 0.000
Mn1 Mn 0.000 0.500 0.000
S1 S 0.500 0.500 0.500
F1 F 0.000 0.000 0.000
```



| no. | DOS at the Fermi energy (states/eV per cell) | electronic total energy (eV per formula unit) |
| --- | --- | --- |
| 1 | 0.000 | -50.85 |
| 2 | 2.672 | -27.69 |
| 3 | 2.978 | -22.39 |